1.
This record from the Alexandria database describes a relaxed structure of VAs3Os. The functional is PBE.

POSCAR file:
```
VAs3Os
1.0
4.806 0.000 0.000
0.000 4.806 0.000
0.000 0.000 4.806
As Os V
3 1 1
direct
0.000 0.000 0.500 As
0.000 0.500 0.000 As
0.500 0.000 0.000 As
0.000 0.000 0.000 Os
0.500 0.500 0.500 V
```

Output
E_form	0.946	eV/atom
offset from the most stable computed form	0.00	eV/f.u.

2.
This record from the Alexandria database describes a relaxed structure of CaCeS2. The functional is PBE.

POSCAR file:
```
CaCeS2
1.0
4.013 0.000 0.000
2.007 3.476 0.000
2.007 1.159 6.707
S Ca Ce
2 1 1
direct
0.752 0.752 0.744 S
0.248 0.248 0.256 S
0.500 0.500 0.500 Ca
0.000 0.000 0.000 Ce
```

Output
offset from the most stable computed form	0.00	eV/f.u.
raw formation energy	-2.0213	eV/atom

3.
This record from the Alexandria database describes a relaxed structure of Na6InSn. The functional is PBE.

POSCAR file:
```
Na6InSn
1.0
-3.849 3.333 7.081
-8.111 3.219 -0.481
-5.306 -1.060 2.985
Na In Sn
6 1 1
direct
0.000 0.501 0.254 Na
0.500 0.755 0.746 Na
0.000 0.499 0.746 Na
0.245 0.002 0.253 Na
0.500 0.245 0.254 Na
0.755 0.998 0.747 Na
0.500 0.500 0.500 In
0.000 0.000 0.000 Sn
```

Output
E_form	-0.071	eV/atom
offset from the most stable computed form	0.00	eV/f.u.

4.
This record from the Alexandria database describes a relaxed structure of Na6Tl8Sn. The functional is PBE.

POSCAR file:
```
Na6Tl8Sn
1.0
9.858 0.301 4.967
3.535 6.348 4.951
1.767 1.867 8.801
Na Tl Sn
6 8 1
direct
0.996 0.194 0.203 Na
0.004 0.806 0.797 Na
0.664 0.868 0.202 Na
0.674 0.465 0.799 Na
0.326 0.535 0.201 Na
0.336 0.132 0.798 Na
0.336 0.324 0.002 Tl
0.671 0.068 0.391 Tl
0.329 0.932 0.609 Tl
0.334 0.731 0.401 Tl
0.666 0.269 0.599 Tl
0.001 0.591 0.607 Tl
0.999 0.409 0.393 Tl
0.664 0.676 0.998 Tl
0.000 0.000 0.000 Sn
```

Output
E_form	-0.101	eV/atom

5.
This record from the Alexandria database describes a relaxed structure of K2Ba2Mg. The functional is PBE.

POSCAR file:
```
K2Ba2Mg
1.0
-3.028 1.048 -8.889
8.144 -3.570 -3.195
-2.841 -6.647 0.184
K Mg Ba
4 2 4
direct
0.168 0.668 0.500 K
0.668 0.832 0.500 K
0.832 0.332 0.500 K
0.332 0.168 0.500 K
0.500 0.500 0.000 Mg
0.000 0.000 0.000 Mg
0.659 0.159 0.000 Ba
0.341 0.841 0.000 Ba
0.841 0.659 0.000 Ba
0.159 0.341 0.000 Ba
```

Output
E_form	0.230	eV/atom
offset from the most stable computed form	0.02	eV/f.u.

6.
This record from the Alexandria database describes a relaxed structure of Zr2Ga5Ru2Rh. The functional is PBE.

POSCAR file:
```
Zr2Ga5Ru2Rh
1.0
-3.709 1.168 1.003
-2.105 -8.582 2.210
2.787 1.516 8.539
Ga Zr Rh Ru
10 4 2 4
direct
0.500 0.438 0.301 Ga
0.500 0.801 0.938 Ga
0.500 0.301 0.562 Ga
0.500 0.500 0.000 Ga
0.500 0.562 0.699 Ga
0.500 0.199 0.062 Ga
0.500 0.000 0.500 Ga
0.500 0.938 0.199 Ga
0.500 0.699 0.438 Ga
0.500 0.062 0.801 Ga
0.000 0.176 0.324 Zr
0.000 0.824 0.676 Zr
0.000 0.676 0.176 Zr
0.000 0.324 0.824 Zr
0.000 0.000 0.000 Rh
0.000 0.500 0.500 Rh
0.000 0.621 0.879 Ru
0.000 0.121 0.621 Ru
0.000 0.379 0.121 Ru
0.000 0.879 0.379 Ru
```

Output
E_form	-0.421	eV/atom

no.,spin magnetization (μB/cell),DOS at the Fermi energy (states/eV/f.u.)
1,3.5,5.00
2,1.3,5.66
3,0.0,4.92
4,0.0,6.55
5,0.0,6.37
6,0.0,6.27